This record from the Alexandria database describes a relaxed TbPu2In9 crystal. The functional is PBE.

a b c (Å): 4.652 4.652 13.971
angles (deg): 90.00 90.00 90.00
Last column: magnetic moment on the atom in μB.
Sites, in units of the cell vectors:
In: 0.500 0.500 0.666  0.01
In: 0.500 0.000 0.833  0.00
In: 0.000 0.500 0.833  0.00
In: 0.500 0.000 0.167  0.00
Tb: 0.000 0.000 0.000  0.00
In: 0.000 0.500 0.167  0.00
Pu: 0.000 0.000 0.332  5.35
In: 0.000 0.500 0.500  0.01
In: 0.500 0.500 0.000  0.00
In: 0.500 0.000 0.500  0.01
In: 0.500 0.500 0.334  0.01
Pu: 0.000 0.000 0.668  5.35

Values from the calculation:
ΔH_f (0 K) = -0.295 eV per atom
volume = 302.3 Å³ per cell
total DFT energy (no corrections) = -5.124 eV/atom